4
Lattice="0.0000 3.5552 3.5552 3.5552 0.0000 3.5552 3.5552 3.5552 0.0000" Properties=species:S:1:pos:R:3 comment="LiPmErPt (PBE-GGA, optimized geometry)" density_g_cm3=9.50 formation_energy_mev_per_atom=-619.3 dos_ef_per_ev_fu=3.4 pbc="T T T"
Li 0.0000 0.0000 0.0000
Pm 5.3327 5.3327 5.3327
Er 1.7776 1.7776 1.7776
Pt 3.5552 3.5552 3.5552

---

4
Lattice="0.0000 3.5044 3.5044 3.5044 0.0000 3.5044 3.5044 3.5044 0.0000" Properties=species:S:1:pos:R:3 comment="LiPmErRe (PBE-GGA, optimized geometry)" density_g_cm3=9.75 formation_energy_mev_per_atom=103.7 dos_ef_per_ev_fu=3.6 pbc="T T T"
Li 0.0000 0.0000 0.0000
Pm 1.7522 1.7522 1.7522
Er 5.2566 5.2566 5.2566
Re 3.5044 3.5044 3.5044

---

8
Lattice="2.3526 1.3583 7.7829 -2.3526 1.3583 7.7829 0.0000 -2.7166 7.7829" Properties=species:S:1:pos:R:3 comment="LiPmEr2Rh4 (PBE-GGA, optimized geometry)" density_g_cm3=9.99 formation_energy_mev_per_atom=-687.0 dos_ef_per_ev_fu=2.7 pbc="T T T"
Li 0.0000 0.0000 0.0000
Pm 0.0000 0.0000 11.6744
Er 0.0000 0.0000 6.0564
Er 0.0000 0.0000 17.2924
Rh 0.0000 0.0000 2.8332
Rh 0.0000 0.0000 8.7758
Rh 0.0000 0.0000 14.5729
Rh 0.0000 0.0000 20.5156

---

18
Lattice="1.9766 -8.2002 0.0000 1.9766 8.2002 0.0000 0.0000 0.0000 11.8495" Properties=species:S:1:pos:R:3 comment="LiPm2ErS5 (PBE-GGA, optimized geometry)" density_g_cm3=5.40 e_form_raw_ev_per_atom=-1.92 pbc="T T T"
Li 1.9766 7.9643 5.9247
Li 1.9766 -7.9643 0.0000
Pm 1.9766 2.0456 3.7411
Pm 1.9766 1.7664 8.3421
Pm 1.9766 -1.7664 2.4174
Pm 1.9766 -2.0456 9.6659
Er 1.9766 3.2400 0.2519
Er 1.9766 -3.2400 6.1766
S 1.9766 8.1960 3.5819
S 1.9766 -8.1960 9.5067
S 1.9766 5.9430 0.2054
S 1.9766 5.0445 4.3142
S 1.9766 4.6949 8.0454
S 1.9766 0.7773 1.0588
S 1.9766 -0.7773 6.9835
S 1.9766 -4.6949 2.1207
S 1.9766 -5.0445 10.2390
S 1.9766 -5.9430 6.1302